1.
A plane-wave DFT calculation with PBE-GGA was carried out for an optimized crystal structure of TeRu2Cl. Values from VASP.

```
&SYSTEM
  ibrav = 0, nat = 4, ntyp = 3
/
ATOMIC_SPECIES
Te 127.60 Te.upf
Ru 101.07 Ru.upf
Cl 35.45 Cl.upf
CELL_PARAMETERS angstrom
3.007 0.000 0.000
0.000 4.135 0.000
-0.955 0.000 5.994
ATOMIC_POSITIONS angstrom
Te 0.000 0.000 0.000
Ru 0.309 2.067 1.925
Ru 1.744 2.067 4.069
Cl 1.026 0.000 2.997
```

Summary:
space group = No. 10
raw formation energy = 0.654 eV per atom
magnetization = 0.00 μB per cell
relative energy among the computed polymorphs = 0.514 eV/atom
final energy = -5.231 eV/atom



2.
A plane-wave DFT calculation with PBE-GGA was carried out for an optimized crystal structure of BeTe2. Values from VASP.

```
&SYSTEM
  ibrav = 0, nat = 3, ntyp = 2
/
ATOMIC_SPECIES
Be 9.01 Be.upf
Te 127.60 Te.upf
CELL_PARAMETERS angstrom
1.897 1.095 5.872
-1.897 1.095 5.872
0.000 -2.191 5.872
ATOMIC_POSITIONS angstrom
Be 0.000 0.000 0.000
Te 0.000 0.000 4.403
Te 0.000 0.000 7.406
```

Summary:
space group = No. 160
raw formation energy = 0.142 eV per atom
magnetization = 0.00 μB per cell
relative energy among the computed polymorphs = 0.287 eV/atom
final energy = -3.194 eV/atom



3.
A plane-wave DFT calculation with PBE-GGA was carried out for an optimized crystal structure of RbBa3Nb. Values from VASP.

```
&SYSTEM
  ibrav = 0, nat = 5, ntyp = 3
/
ATOMIC_SPECIES
Rb 85.47 Rb.upf
Ba 137.33 Ba.upf
Nb 92.91 Nb.upf
CELL_PARAMETERS angstrom
6.426 0.000 0.000
0.000 6.426 0.000
0.000 0.000 6.426
ATOMIC_POSITIONS angstrom
Rb 0.000 0.000 0.000
Ba 0.000 3.213 3.213
Ba 3.213 0.000 3.213
Ba 3.213 3.213 0.000
Nb 3.213 3.213 3.213
```

Summary:
space group = No. 221
magnetization = 0.00 μB per cell
relative energy among the computed polymorphs = 0.000 eV/atom
energy relative to the elements = 0.669 eV per atom
final energy = -2.692 eV/atom



4.
A plane-wave DFT calculation with PBE-GGA was carried out for an optimized crystal structure of CsTe3P. Values from VASP.

```
&SYSTEM
  ibrav = 0, nat = 5, ntyp = 3
/
ATOMIC_SPECIES
Cs 132.91 Cs.upf
Te 127.60 Te.upf
P 30.97 P.upf
CELL_PARAMETERS angstrom
7.491 0.000 0.000
0.000 7.491 0.000
0.000 0.000 7.491
ATOMIC_POSITIONS angstrom
Cs 0.000 0.000 0.000
Te 0.000 0.000 3.746
Te 0.000 3.746 0.000
Te 3.746 0.000 0.000
P 3.746 3.746 3.746
```

Summary:
space group = No. 221
raw formation energy = 1.410 eV per atom
magnetization = 2.00 μB per cell
final energy = -1.728 eV/atom



5.
A plane-wave DFT calculation with PBE-GGA was carried out for an optimized crystal structure of KLa2Mo. Values from VASP.

```
&SYSTEM
  ibrav = 0, nat = 8, ntyp = 3
/
ATOMIC_SPECIES
K 39.10 K.upf
La 138.91 La.upf
Mo 95.94 Mo.upf
CELL_PARAMETERS angstrom
-4.150 4.150 5.798
4.150 -4.150 5.798
4.150 4.150 -5.798
ATOMIC_POSITIONS angstrom
K 0.000 0.000 0.000
K 0.000 4.150 2.899
La 2.075 3.825 -1.449
La 4.476 2.075 1.449
La 2.075 0.325 4.348
La -0.325 2.075 7.247
Mo 4.150 0.000 2.899
Mo 0.000 0.000 5.798
```

Summary:
space group = No. 122
magnetization = 0.00 μB per cell
relative energy among the computed polymorphs = 0.256 eV/atom
energy relative to the elements = 0.612 eV per atom
final energy = -4.834 eV/atom



6.
A plane-wave DFT calculation with PBE-GGA was carried out for an optimized crystal structure of BaRe2Ru. Values from VASP.

```
&SYSTEM
  ibrav = 0, nat = 4, ntyp = 3
/
ATOMIC_SPECIES
Ba 137.33 Ba.upf
Re 186.21 Re.upf
Ru 101.07 Ru.upf
CELL_PARAMETERS angstrom
2.644 -5.007 0.000
2.644 5.007 0.000
0.000 0.000 2.887
ATOMIC_POSITIONS angstrom
Ba 0.000 0.000 0.000
Re 1.322 2.503 1.443
Re 1.322 -2.503 1.443
Ru 2.644 0.000 0.000
```

Summary:
space group = No. 65
magnetization = 0.00 μB per cell
relative energy among the computed polymorphs = 0.963 eV/atom
energy relative to the elements = 1.541 eV per atom
final energy = -7.482 eV/atom